DFT (PBEsol) results for YBi2Au after structural relaxation.

The structure in POSCAR format:
```
YBi2Au
1.0
-4.1042 4.1042 3.2111
4.1042 -4.1042 3.2111
4.1042 4.1042 -3.2111
Y Bi Au
2 4 2
direct
0.0000 0.0000 0.0000 Y
0.7500 0.2500 0.5000 Y
0.1643 0.1250 0.5393 Bi
0.3750 0.8357 0.9607 Bi
0.5857 0.6250 0.4607 Bi
0.8750 0.4143 0.0393 Bi
0.2500 0.7500 0.5000 Au
0.5000 0.5000 0.0000 Au
```

Values from the calculation:
Energy of formation in kcal/mol of atoms: -7.847
Size of the total moment in Bohr magnetons per cell: 0.00
Total energy in eV/cell: -41.4
Symmetry: I-42d, No. 122
DOS(E_F) in states/eV per atom: 0.43